Record 1
The following is a GGA-PBE calculation of Sm3Re3W2N12 after structural relaxation, from OQMD via LeMat-Bulk.

Properties
Crystal system: cubic
E (eV/atom): -9.456
ρ (g/cm³): 9.71
Space group: Ia-3d (230)

a = 11.115 Å, b = 11.115 Å, c = 11.115 Å
α = 109.47°, β = 109.47°, γ = 109.47°
Positions (direct):
Sm 0.125 0.250 0.375
Sm 0.125 0.375 0.750
Sm 0.250 0.375 0.125
Sm 0.250 0.875 0.625
Sm 0.375 0.125 0.250
Sm 0.375 0.750 0.125
Sm 0.625 0.250 0.875
Sm 0.625 0.875 0.750
Sm 0.750 0.125 0.375
Sm 0.750 0.625 0.875
Sm 0.875 0.625 0.250
Sm 0.875 0.750 0.625
Re 0.125 0.750 0.875
Re 0.125 0.875 0.250
Re 0.250 0.125 0.875
Re 0.250 0.625 0.375
Re 0.375 0.250 0.625
Re 0.375 0.625 0.750
Re 0.625 0.375 0.250
Re 0.625 0.750 0.375
Re 0.750 0.375 0.625
Re 0.750 0.875 0.125
Re 0.875 0.125 0.750
Re 0.875 0.250 0.125
W 0.000 0.000 0.000
W 0.000 0.000 0.500
W 0.000 0.500 0.000
W 0.000 0.500 0.500
W 0.500 0.000 0.000
W 0.500 0.000 0.500
W 0.500 0.500 0.000
W 0.500 0.500 0.500
N 0.015 0.197 0.115
N 0.015 0.318 0.900
N 0.082 0.697 0.682
N 0.082 0.885 0.400
N 0.100 0.615 0.418
N 0.100 0.985 0.682
N 0.115 0.015 0.197
N 0.115 0.600 0.918
N 0.182 0.197 0.582
N 0.182 0.485 0.600
N 0.197 0.115 0.015
N 0.197 0.582 0.182
N 0.303 0.318 0.918
N 0.303 0.485 0.385
N 0.318 0.900 0.015
N 0.318 0.918 0.303
N 0.385 0.303 0.485
N 0.385 0.582 0.900
N 0.400 0.082 0.885
N 0.400 0.818 0.515
N 0.418 0.100 0.615
N 0.418 0.818 0.803
N 0.485 0.385 0.303
N 0.485 0.600 0.182
N 0.515 0.400 0.818
N 0.515 0.615 0.697
N 0.582 0.182 0.197
N 0.582 0.900 0.385
N 0.600 0.182 0.485
N 0.600 0.918 0.115
N 0.615 0.418 0.100
N 0.615 0.697 0.515
N 0.682 0.082 0.697
N 0.682 0.100 0.985
N 0.697 0.515 0.615
N 0.697 0.682 0.082
N 0.803 0.418 0.818
N 0.803 0.885 0.985
N 0.818 0.515 0.400
N 0.818 0.803 0.418
N 0.885 0.400 0.082
N 0.885 0.985 0.803
N 0.900 0.015 0.318
N 0.900 0.385 0.582
N 0.918 0.115 0.600
N 0.918 0.303 0.318
N 0.985 0.682 0.100
N 0.985 0.803 0.885

=====

Record 2
The following is a GGA-PBE calculation of SrReN2 after structural relaxation, from OQMD via LeMat-Bulk.

Properties
Crystal system: monoclinic
E (eV/atom): -8.159
ρ (g/cm³): 8.39
Space group: P2_1/c (14)

a = 6.845 Å, b = 7.375 Å, c = 5.092 Å
α = 90.00°, β = 111.60°, γ = 90.00°
Positions (direct):
Sr 0.168 0.088 0.334
Sr 0.168 0.412 0.834
Sr 0.832 0.588 0.166
Sr 0.832 0.912 0.666
Re 0.362 0.657 0.431
Re 0.362 0.843 0.931
Re 0.638 0.157 0.069
Re 0.638 0.343 0.569
N 0.153 0.748 0.075
N 0.153 0.752 0.575
N 0.318 0.097 0.910
N 0.318 0.403 0.410
N 0.682 0.597 0.590
N 0.682 0.903 0.090
N 0.847 0.248 0.425
N 0.847 0.252 0.925

=====

Record 3
The following is a GGA-PBE calculation of Sr2ZrReN6 after structural relaxation, from OQMD via LeMat-Bulk.

Properties
Crystal system: monoclinic
E (eV/atom): -7.806
ρ (g/cm³): 6.38
Space group: P2_1/c (14)

a = 5.826 Å, b = 5.822 Å, c = 10.095 Å
α = 90.00°, β = 125.25°, γ = 90.00°
Positions (direct):
Sr 0.250 0.000 0.250
Sr 0.250 0.500 0.750
Sr 0.750 0.000 0.750
Sr 0.750 0.500 0.250
Zr 0.000 0.000 0.500
Zr 0.000 0.500 0.000
Re 0.500 0.000 0.000
Re 0.500 0.500 0.500
N 0.252 0.232 0.995
N 0.252 0.268 0.495
N 0.263 0.744 0.495
N 0.263 0.756 0.995
N 0.272 0.001 0.762
N 0.272 0.499 0.262
N 0.728 0.501 0.738
N 0.728 0.999 0.238
N 0.737 0.244 0.005
N 0.737 0.256 0.505
N 0.748 0.732 0.505
N 0.748 0.768 0.005

=====

Record 4
The following is a GGA-PBE calculation of Tb3Ta3Re2N12 after structural relaxation, from OQMD via LeMat-Bulk.

Properties
Crystal system: cubic
E (eV/atom): -9.497
ρ (g/cm³): 9.91
Space group: Ia-3d (230)

a = 11.076 Å, b = 11.076 Å, c = 11.076 Å
α = 109.47°, β = 109.47°, γ = 109.47°
Positions (direct):
Tb 0.125 0.250 0.375
Tb 0.125 0.375 0.750
Tb 0.250 0.375 0.125
Tb 0.250 0.875 0.625
Tb 0.375 0.125 0.250
Tb 0.375 0.750 0.125
Tb 0.625 0.250 0.875
Tb 0.625 0.875 0.750
Tb 0.750 0.125 0.375
Tb 0.750 0.625 0.875
Tb 0.875 0.625 0.250
Tb 0.875 0.750 0.625
Ta 0.125 0.750 0.875
Ta 0.125 0.875 0.250
Ta 0.250 0.125 0.875
Ta 0.250 0.625 0.375
Ta 0.375 0.250 0.625
Ta 0.375 0.625 0.750
Ta 0.625 0.375 0.250
Ta 0.625 0.750 0.375
Ta 0.750 0.375 0.625
Ta 0.750 0.875 0.125
Ta 0.875 0.125 0.750
Ta 0.875 0.250 0.125
Re 0.000 0.000 0.000
Re 0.000 0.000 0.500
Re 0.000 0.500 0.000
Re 0.000 0.500 0.500
Re 0.500 0.000 0.000
Re 0.500 0.000 0.500
Re 0.500 0.500 0.000
Re 0.500 0.500 0.500
N 0.023 0.198 0.116
N 0.023 0.325 0.907
N 0.082 0.698 0.675
N 0.082 0.884 0.407
N 0.093 0.616 0.418
N 0.093 0.977 0.675
N 0.116 0.023 0.198
N 0.116 0.593 0.918
N 0.175 0.198 0.582
N 0.175 0.477 0.593
N 0.198 0.116 0.023
N 0.198 0.582 0.175
N 0.302 0.325 0.918
N 0.302 0.477 0.384
N 0.325 0.907 0.023
N 0.325 0.918 0.302
N 0.384 0.302 0.477
N 0.384 0.582 0.907
N 0.407 0.082 0.884
N 0.407 0.825 0.523
N 0.418 0.093 0.616
N 0.418 0.825 0.802
N 0.477 0.384 0.302
N 0.477 0.593 0.175
N 0.523 0.407 0.825
N 0.523 0.616 0.698
N 0.582 0.175 0.198
N 0.582 0.907 0.384
N 0.593 0.175 0.477
N 0.593 0.918 0.116
N 0.616 0.418 0.093
N 0.616 0.698 0.523
N 0.675 0.082 0.698
N 0.675 0.093 0.977
N 0.698 0.523 0.616
N 0.698 0.675 0.082
N 0.802 0.418 0.825
N 0.802 0.884 0.977
N 0.825 0.523 0.407
N 0.825 0.802 0.418
N 0.884 0.407 0.082
N 0.884 0.977 0.802
N 0.907 0.023 0.325
N 0.907 0.384 0.582
N 0.918 0.116 0.593
N 0.918 0.302 0.325
N 0.977 0.675 0.093
N 0.977 0.802 0.884

=====

Record 5
The following is a GGA-PBE calculation of Y3Ta3Re2N12 after structural relaxation, from OQMD via LeMat-Bulk.

Properties
Crystal system: cubic
E (eV/atom): -9.761
ρ (g/cm³): 8.58
Space group: Ia-3d (230)

a = 11.072 Å, b = 11.072 Å, c = 11.072 Å
α = 109.47°, β = 109.47°, γ = 109.47°
Positions (direct):
Y 0.125 0.250 0.375
Y 0.125 0.375 0.750
Y 0.250 0.375 0.125
Y 0.250 0.875 0.625
Y 0.375 0.125 0.250
Y 0.375 0.750 0.125
Y 0.625 0.250 0.875
Y 0.625 0.875 0.750
Y 0.750 0.125 0.375
Y 0.750 0.625 0.875
Y 0.875 0.625 0.250
Y 0.875 0.750 0.625
Ta 0.125 0.750 0.875
Ta 0.125 0.875 0.250
Ta 0.250 0.125 0.875
Ta 0.250 0.625 0.375
Ta 0.375 0.250 0.625
Ta 0.375 0.625 0.750
Ta 0.625 0.375 0.250
Ta 0.625 0.750 0.375
Ta 0.750 0.375 0.625
Ta 0.750 0.875 0.125
Ta 0.875 0.125 0.750
Ta 0.875 0.250 0.125
Re 0.000 0.000 0.000
Re 0.000 0.000 0.500
Re 0.000 0.500 0.000
Re 0.000 0.500 0.500
Re 0.500 0.000 0.000
Re 0.500 0.000 0.500
Re 0.500 0.500 0.000
Re 0.500 0.500 0.500
N 0.023 0.198 0.116
N 0.023 0.325 0.907
N 0.083 0.698 0.675
N 0.083 0.884 0.407
N 0.093 0.616 0.417
N 0.093 0.977 0.675
N 0.116 0.023 0.198
N 0.116 0.593 0.917
N 0.175 0.198 0.583
N 0.175 0.477 0.593
N 0.198 0.116 0.023
N 0.198 0.583 0.175
N 0.302 0.325 0.917
N 0.302 0.477 0.384
N 0.325 0.907 0.023
N 0.325 0.917 0.302
N 0.384 0.302 0.477
N 0.384 0.583 0.907
N 0.407 0.083 0.884
N 0.407 0.825 0.523
N 0.417 0.093 0.616
N 0.417 0.825 0.802
N 0.477 0.384 0.302
N 0.477 0.593 0.175
N 0.523 0.407 0.825
N 0.523 0.616 0.698
N 0.583 0.175 0.198
N 0.583 0.907 0.384
N 0.593 0.175 0.477
N 0.593 0.917 0.116
N 0.616 0.417 0.093
N 0.616 0.698 0.523
N 0.675 0.083 0.698
N 0.675 0.093 0.977
N 0.698 0.523 0.616
N 0.698 0.675 0.083
N 0.802 0.417 0.825
N 0.802 0.884 0.977
N 0.825 0.523 0.407
N 0.825 0.802 0.417
N 0.884 0.407 0.083
N 0.884 0.977 0.802
N 0.907 0.023 0.325
N 0.907 0.384 0.583
N 0.917 0.116 0.593
N 0.917 0.302 0.325
N 0.977 0.675 0.093
N 0.977 0.802 0.884

=====

Record 6
The following is a GGA-PBE calculation of Y2TaReN6 after structural relaxation, from OQMD via LeMat-Bulk.

Properties
Crystal system: monoclinic
E (eV/atom): -9.632
ρ (g/cm³): 8.69
Space group: P2_1/c (14)

a = 5.451 Å, b = 5.660 Å, c = 9.486 Å
α = 90.00°, β = 124.77°, γ = 90.00°
Positions (direct):
Y 0.238 0.061 0.250
Y 0.238 0.439 0.750
Y 0.762 0.561 0.250
Y 0.762 0.939 0.750
Ta 0.500 0.000 0.000
Ta 0.500 0.500 0.500
Re 0.000 0.000 0.500
Re 0.000 0.500 0.000
N 0.145 0.206 0.949
N 0.145 0.294 0.449
N 0.245 0.697 0.951
N 0.245 0.803 0.451
N 0.339 0.023 0.744
N 0.339 0.477 0.244
N 0.661 0.523 0.756
N 0.661 0.977 0.256
N 0.755 0.197 0.549
N 0.755 0.303 0.049
N 0.855 0.706 0.551
N 0.855 0.794 0.051

=====

Record 7
The following is a GGA-PBE calculation of TbReN3 after structural relaxation, from OQMD via LeMat-Bulk.

Properties
Crystal system: monoclinic
E (eV/atom): -9.048
ρ (g/cm³): 8.37
Space group: P2_1/m (11)

a = 5.612 Å, b = 3.722 Å, c = 7.860 Å
α = 90.00°, β = 110.63°, γ = 90.00°
Positions (direct):
Tb 0.209 0.250 0.189
Tb 0.791 0.750 0.811
Re 0.170 0.250 0.674
Re 0.830 0.750 0.326
N 0.032 0.750 0.605
N 0.081 0.250 0.884
N 0.495 0.750 0.277
N 0.505 0.250 0.723
N 0.919 0.750 0.116
N 0.968 0.250 0.395

=====

Record 8
The following is a GGA-PBE calculation of TbReN3 after structural relaxation, from OQMD via LeMat-Bulk.

Properties
Crystal system: monoclinic
E (eV/atom): -9.056
ρ (g/cm³): 8.26
Space group: C2/c (15)

a = 7.364 Å, b = 7.364 Å, c = 6.304 Å
α = 107.19°, β = 107.19°, γ = 81.95°
Positions (direct):
Tb 0.093 0.907 0.750
Tb 0.292 0.708 0.250
Tb 0.708 0.292 0.750
Tb 0.907 0.093 0.250
Re 0.204 0.377 0.780
Re 0.377 0.204 0.280
Re 0.623 0.796 0.720
Re 0.796 0.623 0.220
N 0.004 0.220 0.661
N 0.128 0.627 0.842
N 0.220 0.004 0.161
N 0.336 0.361 0.081
N 0.361 0.336 0.581
N 0.373 0.872 0.658
N 0.627 0.128 0.342
N 0.639 0.664 0.419
N 0.664 0.639 0.919
N 0.780 0.996 0.839
N 0.872 0.373 0.158
N 0.996 0.780 0.339

=====

Record 9
The following is a GGA-PBE calculation of Re2TcN after structural relaxation, from OQMD via LeMat-Bulk.

Properties
Crystal system: hexagonal
E (eV/atom): -10.906
ρ (g/cm³): 16.32
Space group: P-6m2 (187)

a = 2.821 Å, b = 2.821 Å, c = 7.151 Å
α = 90.00°, β = 90.00°, γ = 120.00°
Positions (direct):
Re 0.000 0.000 0.199
Re 0.000 0.000 0.801
Tc 0.333 0.667 0.500
N 0.333 0.667 0.000

=====

Record 10
The following is a GGA-PBE calculation of ReTc2N after structural relaxation, from OQMD via LeMat-Bulk.

Properties
Crystal system: hexagonal
E (eV/atom): -10.508
ρ (g/cm³): 13.45
Space group: P-6m2 (187)

a = 2.819 Å, b = 2.819 Å, c = 7.108 Å
α = 90.00°, β = 90.00°, γ = 120.00°
Positions (direct):
Re 0.000 0.000 0.000
Tc 0.667 0.333 0.304
Tc 0.667 0.333 0.696
N 0.000 0.000 0.500

=====

Record 11
The following is a GGA-PBE calculation of Y2ReTcN6 after structural relaxation, from OQMD via LeMat-Bulk.

Properties
Crystal system: tetragonal
E (eV/atom): -9.122
ρ (g/cm³): 7.88
Space group: I4/m (87)

a = 5.530 Å, b = 5.530 Å, c = 5.530 Å
α = 122.29°, β = 122.29°, γ = 86.08°
Positions (direct):
Y 0.250 0.750 0.500
Y 0.750 0.250 0.500
Re 0.000 0.000 0.000
Tc 0.500 0.500 0.000
N 0.173 0.674 0.847
N 0.248 0.248 0.000
N 0.326 0.173 0.498
N 0.674 0.827 0.502
N 0.752 0.752 0.000
N 0.827 0.326 0.153

=====

Record 12
The following is a GGA-PBE calculation of ReW3N after structural relaxation, from OQMD via LeMat-Bulk.

Properties
Crystal system: cubic
E (eV/atom): -11.839
ρ (g/cm³): 17.95
Space group: Pm-3m (221)

a = 4.112 Å, b = 4.112 Å, c = 4.112 Å
α = 90.00°, β = 90.00°, γ = 90.00°
Positions (direct):
Re 0.000 0.000 0.000
W 0.000 0.500 0.500
W 0.500 0.000 0.500
W 0.500 0.500 0.000
N 0.500 0.500 0.500

=====

- Look up the E of the ninth one.
  -10.906 eV/atom

=====

- Which of these has the highest E?
  Sr2ZrReN6